# 1
PBE LiErGe2Pt5, optimized geometry; formation energy = -0.789 eV/atom; crystal system = tetragonal; DOS(E_F) = 3.046 states/eV/cell
1.0
4.118 0.000 0.000
0.000 4.118 0.000
0.000 0.000 9.354
Li Er Ge Pt
1 1 2 5
Direct
0.000 0.000 0.000 Li
0.000 0.000 0.500 Er
0.500 0.500 0.131 Ge
0.500 0.500 0.869 Ge
0.000 0.500 0.277 Pt
0.000 0.500 0.723 Pt
0.500 0.000 0.277 Pt
0.500 0.000 0.723 Pt
0.500 0.500 0.500 Pt


# 2
PBE Cu2TePdO6, optimized geometry; crystal system = monoclinic; DOS(E_F) = 5.694 states/eV/cell; formation energy without anion corrections = -550 meV/atom
1.0
5.067 -2.709 0.000
5.067 2.709 0.000
-2.036 0.000 4.515
Cu Te Pd O
2 1 1 6
Direct
0.242 0.242 0.134 Cu
0.758 0.758 0.866 Cu
0.000 0.000 0.500 Te
0.500 0.500 0.000 Pd
0.153 0.648 0.165 O
0.174 0.174 0.452 O
0.352 0.847 0.835 O
0.648 0.153 0.165 O
0.826 0.826 0.548 O
0.847 0.352 0.835 O


# 3
PBE CsKAu10, optimized geometry; formation energy = -0.178 eV/atom; crystal system = orthorhombic; DOS(E_F) = 3.234 states/eV/cell
1.0
4.554 0.000 0.000
0.000 5.872 0.000
0.000 0.000 10.237
Cs K Au
1 1 10
Direct
0.000 0.000 0.000 Cs
0.000 0.500 0.500 K
0.000 0.000 0.339 Au
0.000 0.000 0.661 Au
0.000 0.500 0.173 Au
0.000 0.500 0.827 Au
0.500 0.000 0.500 Au
0.500 0.254 0.257 Au
0.500 0.254 0.743 Au
0.500 0.500 0.000 Au
0.500 0.746 0.257 Au
0.500 0.746 0.743 Au


# 4
PBE TbDy8Tm2, optimized geometry; formation energy = 0.181 eV/atom; crystal system = monoclinic; DOS(E_F) = 17.448 states/eV/cell; energy relative to the lowest polymorph listed for this composition = 0 meV per atom
1.0
8.205 -3.294 0.000
8.205 3.294 0.000
-1.182 0.000 6.472
Tb Dy Tm
1 8 2
Direct
0.000 0.000 0.000 Tb
0.174 0.649 0.594 Dy
0.244 0.244 0.313 Dy
0.351 0.826 0.406 Dy
0.410 0.410 0.093 Dy
0.590 0.590 0.907 Dy
0.649 0.174 0.594 Dy
0.756 0.756 0.687 Dy
0.826 0.351 0.406 Dy
0.203 0.203 0.802 Tm
0.797 0.797 0.198 Tm


# 5
PBE Th4PRhS2, optimized geometry; crystal system = monoclinic; DOS(E_F) = 6.835 states/eV/cell; formation energy without anion corrections = -1486 meV/atom
1.0
7.129 0.000 0.000
0.000 4.045 0.000
-2.385 0.000 6.840
Th P Rh S
4 1 1 2
Direct
0.240 0.000 0.243 Th
0.249 0.500 0.747 Th
0.751 0.500 0.253 Th
0.760 0.000 0.757 Th
0.000 0.000 0.500 P
0.000 0.500 0.000 Rh
0.500 0.000 0.000 S
0.500 0.500 0.500 S


# 6
PBE Dy3CdPd4, optimized geometry; formation energy = -0.593 eV/atom; crystal system = orthorhombic; DOS(E_F) = 5.558 states/eV/cell; energy relative to the lowest polymorph listed for this composition = 212 meV per atom
1.0
-2.935 5.155 2.874
2.935 -5.155 2.874
2.935 5.155 -2.874
Dy Cd Pd
3 1 4
Direct
0.000 0.000 0.000 Dy
0.055 0.754 0.301 Dy
0.452 0.754 0.699 Dy
0.837 0.337 0.500 Cd
0.018 0.251 0.767 Pd
0.460 0.234 0.774 Pd
0.460 0.687 0.226 Pd
0.485 0.251 0.233 Pd


# 7
PBE Li3TbCr2S6, optimized geometry; crystal system = monoclinic; formation energy without anion corrections = -1243 meV/atom
1.0
3.142 -5.444 0.000
3.142 5.444 0.000
-2.103 0.000 6.100
Li Tb Cr S
3 1 2 6
Direct
0.000 0.000 0.000 Li
0.335 0.665 0.000 Li
0.665 0.335 0.000 Li
0.500 0.500 0.500 Tb
0.167 0.833 0.500 Cr
0.833 0.167 0.500 Cr
0.056 0.423 0.268 S
0.213 0.213 0.735 S
0.423 0.056 0.268 S
0.577 0.944 0.732 S
0.787 0.787 0.265 S
0.944 0.577 0.732 S


# 8
PBE SrLi8Pd4, optimized geometry; formation energy = -0.370 eV/atom; crystal system = tetragonal; DOS(E_F) = 4.515 states/eV/cell
1.0
-4.477 4.477 2.780
4.477 -4.477 2.780
4.477 4.477 -2.780
Sr Li Pd
1 8 4
Direct
0.000 0.000 0.000 Sr
0.000 0.344 0.344 Li
0.000 0.656 0.656 Li
0.270 0.500 0.770 Li
0.344 0.000 0.344 Li
0.500 0.270 0.770 Li
0.500 0.730 0.230 Li
0.656 0.000 0.656 Li
0.730 0.500 0.230 Li
0.000 0.000 0.500 Pd
0.000 0.500 0.000 Pd
0.500 0.000 0.000 Pd
0.500 0.500 0.500 Pd


# 9
PBE K3UTe6Au2, optimized geometry; crystal system = trigonal; DOS(E_F) = 8.829 states/eV/cell; formation energy without anion corrections = -501 meV/atom
1.0
8.458 0.000 0.000
-4.229 7.325 0.000
0.000 0.000 9.368
K U Te Au
3 1 6 2
Direct
0.000 0.000 0.000 K
0.333 0.667 0.657 K
0.667 0.333 0.343 K
0.000 0.000 0.500 U
0.153 0.306 0.295 Te
0.153 0.847 0.295 Te
0.306 0.153 0.705 Te
0.694 0.847 0.295 Te
0.847 0.153 0.705 Te
0.847 0.694 0.705 Te
0.333 0.667 0.307 Au
0.667 0.333 0.693 Au


# 10
PBE Li2TaAg, optimized geometry; formation energy = 0.300 eV/atom; crystal system = orthorhombic; DOS(E_F) = 2.748 states/eV/cell; energy relative to the lowest polymorph listed for this composition = 157 meV per atom
1.0
2.681 0.000 0.000
0.000 4.361 0.000
0.000 0.000 5.869
Li Ta Ag
2 1 1
Direct
0.000 0.000 0.000 Li
0.500 0.500 0.223 Li
0.000 0.000 0.510 Ta
0.500 0.500 0.735 Ag